[1]
! NpZn2Au4 | Alexandria | PBE | optimized geometry; values from VASP
&SYSTEM
  ibrav = 0, nat = 7, ntyp = 3
/
ATOMIC_SPECIES
Zn 65.41 Zn.upf
Au 196.97 Au.upf
Np 237.00 Np.upf
CELL_PARAMETERS angstrom
0.1850 4.6050 2.7277
-3.9679 0.9667 3.8942
2.9486 0.1470 4.8092
ATOMIC_POSITIONS crystal
Zn 0.2500 0.5000 0.5000
Zn 0.7500 0.5000 0.5000
Au 0.3003 0.3994 0.0000
Au 0.6997 0.6006 0.0000
Au 0.6997 0.0000 0.6006
Au 0.3003 0.0000 0.3994
Np 0.0000 0.0000 0.0000
! **DFT total energy**: -4.321 eV per atom


[2]
! MnCoW2 | Alexandria | PBE | optimized geometry; values from VASP
&SYSTEM
  ibrav = 0, nat = 4, ntyp = 3
/
ATOMIC_SPECIES
Co 58.93 Co.upf
W 183.84 W.upf
Mn 54.94 Mn.upf
CELL_PARAMETERS angstrom
4.8565 -0.0022 0.0014
-1.9702 4.4389 0.0014
0.3868 0.5946 2.5660
ATOMIC_POSITIONS crystal
Co 0.5000 0.0000 0.5000
W 0.0000 0.0000 0.0000
W 0.5000 0.5000 0.0000
Mn 0.0000 0.5000 0.5000
! **Polymorph energy (0 for the lowest one)**: 43 meV per atom


[3]
! Zr4Re3 | Alexandria | PBE | optimized geometry; values from VASP
&SYSTEM
  ibrav = 0, nat = 7, ntyp = 2
/
ATOMIC_SPECIES
Re 186.21 Re.upf
Zr 91.22 Zr.upf
CELL_PARAMETERS angstrom
-1.6239 1.6239 12.6235
1.6239 -1.6239 12.6235
1.6239 1.6239 -12.6235
ATOMIC_POSITIONS crystal
Re 0.2779 0.2779 0.0000
Re 0.0000 0.0000 0.0000
Re 0.7221 0.7221 0.0000
Zr 0.1494 0.1494 0.0000
Zr 0.8506 0.8506 0.0000
Zr 0.4348 0.4348 0.0000
Zr 0.5652 0.5652 0.0000
! **Polymorph energy (0 for the lowest one)**: 212 meV per atom


[4]
! Ce5Ga4Tc | Alexandria | PBE | optimized geometry; values from VASP
&SYSTEM
  ibrav = 0, nat = 10, ntyp = 3
/
ATOMIC_SPECIES
Ce 140.12 Ce.upf
Ga 69.72 Ga.upf
Tc 98.00 Tc.upf
CELL_PARAMETERS angstrom
-0.3082 4.6633 2.8590
-5.4716 4.2745 -2.3126
-4.3531 -0.6538 5.8464
ATOMIC_POSITIONS crystal
Ce 0.8560 0.3818 0.8976
Ce 0.2378 0.8976 0.6182
Ce 0.4976 0.0000 0.0000
Ce 0.7536 0.1024 0.3818
Ce 0.1354 0.6182 0.1024
Ga 0.4359 0.4324 0.6876
Ga 0.8683 0.6876 0.5676
Ga 0.5560 0.5676 0.3124
Ga 0.1235 0.3124 0.4324
Tc 0.0461 0.0000 0.0000
! **DFT total energy**: -5.390 eV per atom


[5]
! SrCdFe2 | Alexandria | PBE | optimized geometry; values from VASP
&SYSTEM
  ibrav = 0, nat = 4, ntyp = 3
/
ATOMIC_SPECIES
Sr 87.62 Sr.upf
Cd 112.41 Cd.upf
Fe 55.84 Fe.upf
CELL_PARAMETERS angstrom
-4.8045 -0.8565 -4.5512
-5.4698 -3.5032 -1.5292
-6.5697 0.3938 -1.1015
ATOMIC_POSITIONS crystal
Sr 0.5155 0.5155 0.5155
Cd 0.7118 0.7118 0.7118
Fe 0.3030 0.3030 0.3030
Fe 0.9697 0.9697 0.9697
! **DFT total energy**: -4.574 eV per atom


[6]
! PrSi4Pd4 | Alexandria | PBE | optimized geometry; values from VASP
&SYSTEM
  ibrav = 0, nat = 18, ntyp = 3
/
ATOMIC_SPECIES
Pd 106.42 Pd.upf
Si 28.09 Si.upf
Pr 140.91 Pr.upf
CELL_PARAMETERS angstrom
-0.5095 1.1229 -5.9261
-5.6216 -2.2437 0.0582
-3.0000 7.5605 1.6905
ATOMIC_POSITIONS crystal
Pd 0.0000 0.7337 0.3762
Pd 0.2663 0.0000 0.6238
Pd 0.2337 0.5000 0.8762
Pd 0.7337 0.0000 0.6238
Pd 0.5000 0.2337 0.1238
Pd 0.5000 0.7663 0.1238
Pd 0.7663 0.5000 0.8762
Pd 0.0000 0.2663 0.3762
Si 0.8007 0.5000 0.1720
Si 0.0000 0.3007 0.6720
Si 0.3007 0.0000 0.3280
Si 0.5000 0.1993 0.8280
Si 0.1993 0.5000 0.1720
Si 0.5000 0.8007 0.8280
Si 0.0000 0.6993 0.6720
Si 0.6993 0.0000 0.3280
Pr 0.5000 0.5000 0.5000
Pr 0.0000 0.0000 0.0000
! **Formation energy (no corrections)**: -6.02 eV/f.u.


[7]
! KNbSi2 | Alexandria | PBE | optimized geometry; values from VASP
&SYSTEM
  ibrav = 0, nat = 8, ntyp = 3
/
ATOMIC_SPECIES
Si 28.09 Si.upf
K 39.10 K.upf
Nb 92.91 Nb.upf
CELL_PARAMETERS angstrom
-1.6001 2.4845 4.8110
-5.3126 0.2491 -1.8955
-4.9635 -5.9278 4.7234
ATOMIC_POSITIONS crystal
Si 0.3750 0.1241 0.7500
Si 0.8741 0.6250 0.2500
Si 0.8750 0.1259 0.7500
Si 0.8759 0.1250 0.2500
K 0.2500 0.7500 0.5000
K 0.5000 0.5000 0.0000
Nb 0.7500 0.2500 0.5000
Nb 0.0000 0.0000 0.0000
! **Formation energy (no corrections)**: 2.02 eV/f.u.
! **Polymorph energy (0 for the lowest one)**: 0 meV per atom


[8]
! MnZnCuSb2 | Alexandria | PBE | optimized geometry; values from VASP
&SYSTEM
  ibrav = 0, nat = 5, ntyp = 4
/
ATOMIC_SPECIES
Sb 121.76 Sb.upf
Zn 65.41 Zn.upf
Mn 54.94 Mn.upf
Cu 63.55 Cu.upf
CELL_PARAMETERS angstrom
4.8911 0.0000 0.0000
0.0000 4.7535 0.0000
0.0000 0.0000 4.8911
ATOMIC_POSITIONS crystal
Sb 0.5000 0.0000 0.0000
Sb 0.0000 0.0000 0.5000
Zn 0.5000 0.5000 0.5000
Mn 0.0000 0.0000 0.0000
Cu 0.0000 0.5000 0.0000
! **Formation energy (no corrections)**: 2.75 eV/f.u.


[9]
! Hf2TiB2Ru5 | Alexandria | PBE | optimized geometry; values from VASP
&SYSTEM
  ibrav = 0, nat = 20, ntyp = 4
/
ATOMIC_SPECIES
Ru 101.07 Ru.upf
B 10.81 B.upf
Ti 47.87 Ti.upf
Hf 178.49 Hf.upf
CELL_PARAMETERS angstrom
3.0804 0.0000 0.0000
0.0000 9.4021 0.0000
0.0000 0.0000 9.4021
ATOMIC_POSITIONS crystal
Ru 0.5000 0.5708 0.7155
Ru 0.5000 0.7845 0.9292
Ru 0.5000 0.0000 0.5000
Ru 0.5000 0.2845 0.5708
Ru 0.5000 0.5000 0.0000
Ru 0.5000 0.0708 0.7845
Ru 0.5000 0.2155 0.0708
Ru 0.5000 0.4292 0.2845
Ru 0.5000 0.7155 0.4292
Ru 0.5000 0.9292 0.2155
B 0.0000 0.1234 0.6234
B 0.0000 0.6234 0.8766
B 0.0000 0.3766 0.1234
B 0.0000 0.8766 0.3766
Ti 0.0000 0.0000 0.0000
Ti 0.0000 0.5000 0.5000
Hf 0.0000 0.1757 0.3243
Hf 0.0000 0.6757 0.1757
Hf 0.0000 0.3243 0.8243
Hf 0.0000 0.8243 0.6757
! **DFT total energy**: -9.465 eV per atom


[10]
! Mg4TcOs | Alexandria | PBE | optimized geometry; values from VASP
&SYSTEM
  ibrav = 0, nat = 6, ntyp = 3
/
ATOMIC_SPECIES
Mg 24.30 Mg.upf
Tc 98.00 Tc.upf
Os 190.23 Os.upf
CELL_PARAMETERS angstrom
-4.8026 0.8965 1.9045
-2.2588 4.6828 -0.6818
-4.0672 0.4975 -3.2720
ATOMIC_POSITIONS crystal
Mg 0.3752 0.8745 0.3752
Mg 0.3752 0.3752 0.8745
Mg 0.3752 0.3752 0.3752
Mg 0.8745 0.3752 0.3752
Tc 0.0000 0.0000 0.0000
Os 0.7500 0.7500 0.7500
! **DFT total energy**: -3.965 eV per atom


[11]
! EuGdCdIr | Alexandria | PBE | optimized geometry; values from VASP
&SYSTEM
  ibrav = 0, nat = 4, ntyp = 4
/
ATOMIC_SPECIES
Cd 112.41 Cd.upf
Eu 151.96 Eu.upf
Ir 192.22 Ir.upf
Gd 157.25 Gd.upf
CELL_PARAMETERS angstrom
-3.2612 -3.5457 1.7790
1.3109 -2.9038 4.0276
-2.3236 0.6897 4.5274
ATOMIC_POSITIONS crystal
Cd 0.2500 0.2500 0.2500
Eu 0.5000 0.5000 0.5000
Ir 0.7500 0.7500 0.7500
Gd 0.0000 0.0000 0.0000
! **DFT total energy**: -8.901 eV per atom


[12]
! Li2YSbO | Alexandria | PBE | optimized geometry; values from VASP
&SYSTEM
  ibrav = 0, nat = 5, ntyp = 4
/
ATOMIC_SPECIES
Li 6.94 Li.upf
O 16.00 O.upf
Y 88.91 Y.upf
Sb 121.76 Sb.upf
CELL_PARAMETERS angstrom
4.3618 0.0000 0.0000
0.0000 4.3618 0.0000
0.0000 0.0000 4.5630
ATOMIC_POSITIONS crystal
Li 0.5000 0.0000 0.0000
Li 0.0000 0.5000 0.0000
O 0.0000 0.0000 0.0000
Y 0.0000 0.0000 0.5000
Sb 0.5000 0.5000 0.5000
! **Formation energy (no corrections)**: -8.13 eV/f.u.